No. 1
A relaxed structure of CsTi2CoRh. Source: Alexandria, functional PBE.

Uncorrected energy = -27.30 eV/cell
Space group = P4/mmm (123)
DFT formation energy = 0.760 eV/atom

Cell: 4.557 5.036 4.557 Å, 90.00 90.00 90.00°
Fractional coordinates of all 5 atoms:
Ti  0.000  0.000  0.500
Ti  0.500  0.000  0.000
Co  0.000  0.000  0.000
Cs  0.500  0.500  0.500
Rh  0.000  0.500  0.000

---

No. 2
A relaxed structure of MnNiTe. Source: Alexandria, functional PBE.

Uncorrected energy = -71.30 eV/cell
Space group = C2/m (12)
Formation energy without anion corrections = 0.089 eV per atom

Cell: 3.694 8.053 8.518 Å, 96.77 102.52 90.00°
Site moments in Bohr magnetons follow the coordinates.
Fractional coordinates of all 12 atoms:
Te  0.425  0.167  0.850  -0.08
Te  0.876  0.659  0.752  -0.07
Te  0.575  0.833  0.150  -0.08
Te  0.124  0.341  0.248  -0.07
Mn  0.740  0.870  0.480  3.46
Mn  0.751  0.377  0.502  3.18
Mn  0.249  0.623  0.498  3.18
Mn  0.260  0.130  0.520  3.46
Ni  0.663  0.111  0.326  0.42
Ni  0.653  0.589  0.307  0.34
Ni  0.347  0.411  0.693  0.34
Ni  0.337  0.889  0.674  0.42

---

No. 3
A relaxed structure of TbReP2. Source: Alexandria, functional PBE.

Uncorrected energy = -29.55 eV/cell
Space group = P4/mmm (123)
DFT formation energy = -0.412 eV/atom

Cell: 3.084 3.084 6.784 Å, 90.00 90.00 90.00°
Fractional coordinates of all 4 atoms:
Re  0.500  0.500  0.000
Tb  0.500  0.500  0.500
P  0.000  0.000  0.794
P  0.000  0.000  0.206

---

No. 4
A relaxed structure of GaHPd3. Source: Alexandria, functional PBE.

Uncorrected energy = -47.82 eV/cell
Space group = P1 (1)

Cell: 7.923 2.942 5.648 Å, 75.02 89.89 90.02°
Fractional coordinates of all 10 atoms:
Pd  0.564  0.197  0.582
Pd  0.651  0.930  0.112
Pd  0.358  0.522  0.930
Pd  0.148  0.205  0.569
Pd  0.859  0.602  0.769
Pd  0.055  0.926  0.119
Ga  0.854  0.301  0.371
Ga  0.359  0.820  0.334
H  0.220  0.048  0.876
H  0.630  0.552  0.849

---

No. 5
A relaxed structure of La2Sm5Tl4. Source: Alexandria, functional PBE.

Uncorrected energy = -45.06 eV/cell
Space group = P2/m (10)
DFT formation energy = -0.195 eV/atom

Cell: 3.553 8.802 10.800 Å, 83.80 90.00 90.00°
Fractional coordinates of all 11 atoms:
Sm  0.000  0.837  0.143
Sm  0.000  0.539  0.668
Sm  0.000  0.500  0.000
Sm  0.000  0.163  0.857
Sm  0.000  0.461  0.332
Tl  0.500  0.800  0.888
Tl  0.500  0.744  0.419
Tl  0.500  0.256  0.581
Tl  0.500  0.200  0.112
La  0.000  0.082  0.364
La  0.000  0.918  0.636

---

No. 6
A relaxed structure of AcPbF2. Source: Alexandria, functional PBE.

Uncorrected energy = -19.77 eV/cell
Space group = R-3m (166)
Formation energy without anion corrections = -2.051 eV per atom

Cell: 4.592 4.592 6.333 Å, 68.75 68.75 60.00°
Fractional coordinates of all 4 atoms:
Ac  0.000  0.000  0.000
F  0.138  0.138  0.585
F  0.862  0.862  0.415
Pb  0.500  0.500  0.500

---

No. 7
A relaxed structure of GaSeCl. Source: Alexandria, functional PBE.

Uncorrected energy = -43.73 eV/cell
Space group = Pnnm (58)
Formation energy without anion corrections = -0.858 eV per atom

Cell: 3.851 5.628 16.218 Å, 90.00 90.00 90.00°
Fractional coordinates of all 12 atoms:
Se  0.000  0.727  0.823
Se  0.000  0.273  0.177
Se  0.500  0.773  0.323
Se  0.500  0.227  0.677
Cl  0.000  0.727  0.585
Cl  0.500  0.773  0.085
Cl  0.000  0.273  0.415
Cl  0.500  0.227  0.915
Ga  0.500  0.452  0.807
Ga  0.000  0.952  0.693
Ga  0.500  0.548  0.193
Ga  0.000  0.048  0.307

---

No. 8
A relaxed structure of BeTl2Pt. Source: Alexandria, functional PBE.

Uncorrected energy = -12.63 eV/cell
Space group = I-4m2 (119)
DFT formation energy = 0.468 eV/atom

Cell: 5.194 5.194 5.194 Å, 130.80 130.80 72.14°
Fractional coordinates of all 4 atoms:
Be  0.500  0.500  0.000
Pt  0.750  0.250  0.500
Tl  0.000  0.000  0.000
Tl  0.250  0.750  0.500

---

No. 9
A relaxed structure of Ac3Zn4Ni2. Source: Alexandria, functional PBE.

Uncorrected energy = -31.38 eV/cell
Space group = C2/m (12)
DFT formation energy = -0.266 eV/atom

Cell: 4.672 5.764 8.758 Å, 100.77 90.00 113.91°
Fractional coordinates of all 9 atoms:
Ni  0.322  0.643  0.645
Ni  0.678  0.357  0.355
Zn  0.717  0.433  0.083
Zn  0.283  0.567  0.917
Zn  0.112  0.224  0.420
Zn  0.888  0.776  0.580
Ac  0.382  0.763  0.308
Ac  0.618  0.237  0.692
Ac  0.000  0.000  0.000

---

No. 10
A relaxed structure of Be2SiTe. Source: Alexandria, functional PBE.

Uncorrected energy = -13.41 eV/cell
Space group = C2/m (12)
Formation energy without anion corrections = 0.653 eV per atom

Cell: 4.397 4.397 3.963 Å, 73.46 73.46 101.59°
Fractional coordinates of all 4 atoms:
Be  0.000  0.000  0.000
Be  0.500  0.500  0.000
Te  0.000  0.500  0.500
Si  0.500  0.000  0.500

---

No. 11
A relaxed structure of Tb2TeF. Source: Alexandria, functional PBE.

Uncorrected energy = -20.84 eV/cell
Space group = R-3m (166)
Formation energy without anion corrections = -1.642 eV per atom

Cell: 3.944 3.944 7.268 Å, 74.26 74.26 60.00°
Fractional coordinates of all 4 atoms:
Tb  0.269  0.269  0.194
Tb  0.731  0.731  0.806
Te  0.500  0.500  0.500
F  0.000  0.000  0.000

---

No. 12
A relaxed structure of Be2TlP. Source: Alexandria, functional PBE.

Uncorrected energy = -14.38 eV/cell
Space group = Pm (6)
DFT formation energy = 0.213 eV/atom

Cell: 3.557 3.486 6.046 Å, 73.31 90.00 90.00°
Fractional coordinates of all 4 atoms:
Tl  0.500  0.018  0.788
P  0.000  0.264  0.368
Be  0.000  0.860  0.174
Be  0.500  0.357  0.170

---

No. 13
A relaxed structure of ReMo2Cl. Source: Alexandria, functional PBE.

Uncorrected energy = -35.00 eV/cell
Space group = P4/mmm (123)
Formation energy without anion corrections = 0.239 eV per atom

Cell: 2.940 2.940 7.074 Å, 90.00 90.00 90.00°
Fractional coordinates of all 4 atoms:
Cl  0.500  0.500  0.750
Re  0.500  0.500  0.250
Mo  0.000  0.000  0.497
Mo  0.000  0.000  0.003

---

No. 14
A relaxed structure of NaLaAsAu. Source: Alexandria, functional PBE.

Uncorrected energy = -17.49 eV/cell
Space group = F-43m (216)
DFT formation energy = -0.828 eV/atom

Cell: 5.169 5.169 5.169 Å, 60.00 60.00 60.00°
Fractional coordinates of all 4 atoms:
Na  0.250  0.250  0.250
Au  0.000  0.000  0.000
As  0.500  0.500  0.500
La  0.750  0.750  0.750

---

No. 15
A relaxed structure of BaCa2Os. Source: Alexandria, functional PBE.

Uncorrected energy = -15.33 eV/cell
Space group = Pm (6)
DFT formation energy = 0.455 eV/atom

Cell: 4.133 4.027 8.704 Å, 76.30 90.00 90.00°
Fractional coordinates of all 4 atoms:
Ba  0.500  0.601  0.684
Os  0.000  0.726  0.413
Ca  0.500  0.273  0.325
Ca  0.000  0.899  0.077

---

No. 16
A relaxed structure of Er5As4Se. Source: Alexandria, functional PBE.

Uncorrected energy = -60.94 eV/cell
Space group = Immm (71)
Formation energy without anion corrections = -1.604 eV per atom

Cell: 4.076 5.757 10.791 Å, 105.47 100.89 90.00°
Fractional coordinates of all 10 atoms:
As  0.599  0.599  0.198
As  0.800  0.800  0.599
As  0.401  0.401  0.802
As  0.200  0.200  0.401
Er  0.199  0.699  0.399
Er  0.000  0.500  0.000
Er  0.605  0.105  0.210
Er  0.801  0.301  0.601
Er  0.395  0.895  0.790
Se  0.000  0.000  0.000

---

No. 17
A relaxed structure of Tb3YPa2N6. Source: Alexandria, functional PBE.

Uncorrected energy = -109.55 eV/cell
Space group = C2/m (12)
Formation energy without anion corrections = -1.687 eV per atom

Cell: 6.056 6.056 6.051 Å, 99.58 99.58 120.01°
Fractional coordinates of all 12 atoms:
Tb  0.166  0.834  0.500
Tb  0.500  0.500  0.500
Tb  0.834  0.166  0.500
Pa  0.667  0.333  0.000
Pa  0.333  0.667  0.000
N  0.735  0.735  0.238
N  0.921  0.576  0.765
N  0.424  0.079  0.235
N  0.265  0.265  0.762
N  0.079  0.424  0.235
N  0.576  0.921  0.765
Y  0.000  0.000  0.000

---

No. 18
A relaxed structure of OsPt2Br. Source: Alexandria, functional PBE.

Uncorrected energy = -21.13 eV/cell
Space group = Pmmm (47)
Formation energy without anion corrections = 0.964 eV per atom

Cell: 2.817 4.756 4.931 Å, 90.00 90.00 90.00°
Fractional coordinates of all 4 atoms:
Pt  0.500  0.500  0.000
Pt  0.000  0.000  0.000
Br  0.500  0.000  0.500
Os  0.000  0.500  0.500

---

No. 19
A relaxed structure of MoPt6Rh2. Source: Alexandria, functional PBE.

Uncorrected energy = -63.31 eV/cell
Space group = C2/m (12)
DFT formation energy = -0.171 eV/atom

Cell: 3.916 4.835 8.367 Å, 73.22 76.47 66.11°
Fractional coordinates of all 9 atoms:
Pt  0.334  0.280  0.052
Pt  0.005  0.166  0.825
Pt  0.668  0.057  0.607
Pt  0.995  0.834  0.175
Pt  0.332  0.943  0.393
Pt  0.666  0.720  0.948
Mo  0.000  0.500  0.500
Rh  0.658  0.400  0.285
Rh  0.342  0.600  0.715

---

No. 20
A relaxed structure of TbPm3Nd3Te8. Source: Alexandria, functional PBE.

Uncorrected energy = -80.03 eV/cell
Space group = R-3m (166)
Formation energy without anion corrections = -1.447 eV per atom

Cell: 8.918 8.918 8.929 Å, 119.96 90.00 120.00°
Fractional coordinates of all 15 atoms:
Te  0.251  0.502  0.252
Te  0.251  0.502  0.749
Te  0.748  0.998  0.749
Te  0.749  0.498  0.748
Te  0.252  0.002  0.251
Te  0.251  0.998  0.749
Te  0.749  0.498  0.251
Te  0.749  0.002  0.251
Nd  0.500  0.500  0.000
Nd  0.000  0.000  0.000
Nd  0.000  0.500  0.000
Pm  0.500  0.000  0.500
Pm  0.500  0.500  0.500
Pm  0.000  0.500  0.500
Tb  0.000  0.000  0.500

---

No. 21
A relaxed structure of Sc2Hg2F. Source: Alexandria, functional PBE.

Uncorrected energy = -41.56 eV/cell
Space group = P4/mbm (127)
Formation energy without anion corrections = -1.128 eV per atom

Cell: 6.312 6.312 5.032 Å, 90.00 90.00 90.00°
Fractional coordinates of all 10 atoms:
Sc  0.671  0.171  0.000
Sc  0.329  0.829  0.000
Sc  0.829  0.671  0.000
Sc  0.171  0.329  0.000
Hg  0.159  0.659  0.500
Hg  0.341  0.159  0.500
Hg  0.659  0.841  0.500
Hg  0.841  0.341  0.500
F  0.000  0.000  0.000
F  0.500  0.500  0.000

---

No. 22
A relaxed structure of CsBa2Te2. Source: Alexandria, functional PBE.

Uncorrected energy = -17.00 eV/cell
Space group = I4/mmm (139)
Formation energy without anion corrections = -1.203 eV per atom

Cell: 6.539 6.539 8.235 Å, 66.61 66.61 90.00°
Site moments in Bohr magnetons follow the coordinates.
Fractional coordinates of all 5 atoms:
Te  0.750  0.250  0.500  0.01
Te  0.250  0.750  0.500  0.01
Ba  0.676  0.676  0.648  0.07
Ba  0.324  0.324  0.352  0.07
Cs  0.000  0.000  0.000  0.01

---

No. 23
A relaxed structure of LiNdCu2. Source: Alexandria, functional PBE.

Uncorrected energy = -61.25 eV/cell
Space group = Pnma (62)
DFT formation energy = -0.110 eV/atom

Cell: 4.314 7.141 9.843 Å, 90.00 90.00 90.00°
Fractional coordinates of all 16 atoms:
Cu  0.750  0.202  0.035
Cu  0.750  0.402  0.640
Cu  0.250  0.298  0.535
Cu  0.750  0.902  0.860
Cu  0.250  0.098  0.140
Cu  0.250  0.598  0.360
Cu  0.250  0.798  0.965
Cu  0.750  0.702  0.465
Nd  0.750  0.807  0.176
Nd  0.250  0.193  0.824
Nd  0.750  0.307  0.324
Nd  0.250  0.693  0.676
Li  0.250  0.460  0.091
Li  0.750  0.040  0.591
Li  0.750  0.540  0.909
Li  0.250  0.960  0.409

---

No. 24
A relaxed structure of SiSn2Br. Source: Alexandria, functional PBE.

Uncorrected energy = -14.23 eV/cell
Space group = Fm-3m (225)
Formation energy without anion corrections = 0.217 eV per atom

Cell: 5.158 5.158 5.158 Å, 60.00 60.00 60.00°
Fractional coordinates of all 4 atoms:
Br  0.500  0.500  0.500
Sn  0.250  0.250  0.250
Sn  0.750  0.750  0.750
Si  0.000  0.000  0.000

---

No. 25
A relaxed structure of Ge2AsRh5. Source: Alexandria, functional PBE.

Uncorrected energy = -108.57 eV/cell
Space group = Pbam (55)
DFT formation energy = -0.456 eV/atom

Cell: 3.899 5.635 10.733 Å, 90.00 90.00 90.00°
Fractional coordinates of all 16 atoms:
Ge  0.500  0.920  0.160
Ge  0.500  0.420  0.340
Ge  0.500  0.580  0.660
Ge  0.500  0.080  0.840
Rh  0.500  0.662  0.892
Rh  0.000  0.157  0.288
Rh  0.000  0.843  0.712
Rh  0.500  0.338  0.108
Rh  0.000  0.343  0.788
Rh  0.000  0.000  0.000
Rh  0.500  0.162  0.608
Rh  0.500  0.838  0.392
Rh  0.000  0.657  0.212
Rh  0.000  0.500  0.500
As  0.000  0.500  0.000
As  0.000  0.000  0.500